A plane-wave DFT calculation with PBEsol was carried out for a relaxed NaCaSb2N crystal.

The space group is P4/mmm (No. 123) and the conventional cell measures 5.8971, 5.8971 and 4.2606 Å, with angles of 90.00, 90.00 and 90.00 degrees. Symmetry generates all atoms from Na at (0.0000, 0.0000, 0.0000), Ca at (0.5000, 0.5000, 0.5000), Sb at (0.0000, 0.5000, 0.5000) and N at (0.5000, 0.5000, 0.0000).

As for the total energy: -17.572 eV per cell. The calculation puts the volume at 148 Å³ per cell. The value obtained for the uncorrected formation energy is 70 kJ/mol of atoms.

***

A plane-wave DFT calculation with PBEsol was carried out for a relaxed CaZn2Cd2 crystal.

The space group is I4/mmm (No. 139) and the conventional cell measures 4.2518, 4.2518 and 11.6301 Å, with angles of 90.00, 90.00 and 90.00 degrees. Symmetry generates all atoms from Ca at (0.0000, 0.0000, 0.0000), Zn at (0.0000, 0.0000, 0.3968) and Cd at (0.0000, 0.5000, 0.2500).

As for the total energy: -17.529 eV per cell. The calculation puts the energy of formation at -1.07 eV per formula unit. The calculation puts the volume at 210 Å³ per cell.

***

A plane-wave DFT calculation with PBEsol was carried out for a relaxed Ni2SbH crystal.

The space group is Fm-3m (No. 225) and the conventional cell measures 5.7706, 5.7706 and 5.7706 Å, with angles of 90.00, 90.00 and 90.00 degrees. Symmetry generates all atoms from Ni at (0.2500, 0.2500, 0.2500), Sb at (0.0000, 0.0000, 0.0000) and H at (0.0000, 0.0000, 0.5000).

As for the total energy: -74.861 eV per cell. The calculation puts the volume at 192 Å³ per cell.